# 1
Computed, not measured: a relaxed Fe3Tc crystal at the GGA-PBEsol level of DFT.

abc: 2.526 3.958 4.358
angles: 90.00 90.00 90.00
Fractional positions:
1 Tc 0.000 0.500 0.331
2 Fe 0.500 0.000 0.515
3 Fe 0.500 0.500 0.837
4 Fe 0.000 0.000 0.983

Properties
The value obtained for the formation energy is 0.019 eV per atom.

# 2
Computed, not measured: a relaxed FeTc3 crystal at the GGA-PBEsol level of DFT.

abc: 3.753 3.753 4.571
angles: 114.24 114.24 90.00
Fractional positions:
1 Tc 0.250 0.750 0.500
2 Tc 0.500 0.500 0.000
3 Tc 0.750 0.250 0.500
4 Fe 0.000 0.000 0.000

Properties
The value obtained for the formation energy is 0.075 eV per atom.

# 3
Computed, not measured: a relaxed Fe3Tc crystal at the GGA-PBEsol level of DFT.

abc: 3.971 4.345 5.014
angles: 90.00 90.00 90.00
Fractional positions:
1 Tc 0.000 0.664 0.000
2 Tc 0.500 0.336 0.500
3 Fe 0.500 0.320 0.000
4 Fe 0.500 0.838 0.750
5 Fe 0.500 0.838 0.250
6 Fe 0.000 0.680 0.500
7 Fe 0.000 0.162 0.750
8 Fe 0.000 0.162 0.250

Properties
The value obtained for the formation energy is -0.032 eV per atom.

# 4
Computed, not measured: a relaxed FeTc2Te crystal at the GGA-PBEsol level of DFT.

abc: 3.003 4.566 4.664
angles: 99.02 108.78 90.00
Fractional positions:
1 Fe 0.000 0.500 0.000
2 Tc 0.268 0.288 0.537
3 Tc 0.732 0.712 0.463
4 Te 0.500 0.000 0.000

Properties
Its uncorrected formation energy is 0.365 eV per atom.

no.,V (Å³ per cell)
1,44
2,52
3,87
4,60